No. 1
La4HgIr2 (GGA-PBE, optimized geometry); crystal system = orthorhombic; formation enthalpy at 0 K = -0.559 eV/atom; energy above the lowest structure with this stoichiometry = 0.55 eV/f.u.; size of the total moment = 0.000 μB/f.u.
1.0
-0.378 7.601 -3.382
-6.373 -0.919 5.281
7.202 -0.906 4.088
Ir La Hg
4 8 2
Direct
0.625 0.875 0.250
0.125 0.375 0.750
0.625 0.375 0.750
0.625 0.375 0.250
0.907 0.591 0.684
0.343 0.527 0.184
0.841 0.657 0.184
0.409 0.093 0.316
0.907 0.223 0.316
0.473 0.657 0.816
0.343 0.159 0.816
0.777 0.093 0.684
0.249 0.749 0.500
0.001 0.001 0.000


No. 2
YOsAu (GGA-PBE, optimized geometry); crystal system = trigonal; formation enthalpy at 0 K = 0.397 eV/atom; energy above the lowest structure with this stoichiometry = 1.28 eV/f.u.; size of the total moment = 0.000 μB/f.u.
1.0
3.236 0.000 0.000
-1.618 2.803 0.000
0.000 0.000 6.702
Os Y Au
1 1 1
Direct
0.667 0.333 0.340
0.333 0.667 0.649
0.000 0.000 0.011


No. 3
HPtS (GGA-PBE, optimized geometry); crystal system = orthorhombic; energy above the lowest structure with this stoichiometry = 0.19 eV/f.u.; size of the total moment = 0.000 μB/f.u.
1.0
4.084 0.000 0.000
0.000 4.898 0.000
0.000 0.000 7.593
H S Pt
4 4 4
Direct
0.529 0.250 0.220
0.971 0.250 0.720
0.471 0.750 0.780
0.029 0.750 0.280
0.865 0.250 0.367
0.365 0.750 0.133
0.635 0.250 0.867
0.135 0.750 0.633
0.288 0.250 0.596
0.788 0.750 0.904
0.212 0.250 0.096
0.712 0.750 0.404


No. 4
RbCuTcCl6 (GGA-PBE, optimized geometry); crystal system = trigonal; formation energy (no corrections) = -0.9294 eV/atom; size of the total moment = 3.055 μB/f.u.
1.0
6.465 0.000 0.000
-3.232 5.599 0.000
0.000 0.000 14.656
Rb Cu Cl Tc
2 2 12 2
Direct
0.000 0.000 0.500
0.000 0.000 0.000
0.333 0.667 0.250
0.667 0.333 0.750
0.379 0.016 0.157
0.984 0.621 0.343
0.363 0.379 0.843
0.637 0.016 0.343
0.984 0.363 0.157
0.363 0.984 0.657
0.379 0.363 0.343
0.637 0.621 0.157
0.621 0.984 0.843
0.016 0.637 0.843
0.016 0.379 0.657
0.621 0.637 0.657
0.333 0.667 0.750
0.667 0.333 0.250


No. 5
Sr3Sb4Pt2 (GGA-PBE, optimized geometry); crystal system = monoclinic; formation energy (no corrections) = -0.8058 eV/atom; size of the total moment = 0.000 μB/f.u.
1.0
4.856 0.000 0.000
-2.428 5.921 -0.283
0.000 -2.801 8.957
Sr Sb Pt
3 4 2
Direct
0.622 0.245 0.683
0.378 0.755 0.317
0.000 0.000 0.000
0.881 0.763 0.587
0.119 0.237 0.413
0.282 0.564 0.927
0.718 0.436 0.073
0.329 0.659 0.668
0.671 0.341 0.332


No. 6
Mg2SF (GGA-PBE, optimized geometry); crystal system = cubic; formation energy (no corrections) = -1.2828 eV/atom; energy above the lowest structure with this stoichiometry = 1.36 eV/f.u.; size of the total moment = 0.000 μB/f.u.
1.0
0.000 3.162 3.162
3.162 0.000 3.162
3.162 3.162 0.000
F Mg S
1 2 1
Direct
0.000 0.000 0.000
0.250 0.250 0.250
0.750 0.750 0.750
0.500 0.500 0.500


> Look up the size of the total moment of the first one.

0.000 μB/f.u.


> size of the total moment of number 5 (Sr3Sb4Pt2)?

0.000 μB/f.u.


> The highest size of the total moment belongs to which entry?

RbCuTcCl6